Record 1
# BeZnRu3

BeZnRu3 after structural relaxation (PBE, the Alexandria database).

abc: 4.1130 4.1130 4.1130
angles: 90.00 90.00 90.00
Space group Pm-3m (No. 221)
Inequivalent atoms, fractional coordinates:
Be: 0.0000 0.0000 0.0000 [1 per cell]
Zn: 0.5000 0.5000 0.5000 [1 per cell]
Ru: 0.0000 0.0000 0.5000 [3 per cell]

Results
energy above the most stable polymorph in this dataset: 0.00 eV per formula unit
theoretical density: 9.01 g/cm3
total magnetization: 0.337 μB per atom
energy of formation: 2.77 eV/f.u.


Record 2
# Tb3Al2Au4

Tb3Al2Au4 after structural relaxation (PBE, the Alexandria database).

abc: 10.8499 4.5638 8.6995
angles: 90.00 115.45 90.00
Space group C2/m (No. 12)
Inequivalent atoms, fractional coordinates:
Tb: 0.0000 0.0000 0.0000 [2 per cell]
Tb: 0.1434 0.5000 0.6892 [4 per cell]
Al: 0.1545 0.5000 0.3277 [4 per cell]
Au: 0.0835 0.0000 0.4038 [4 per cell]
Au: 0.2155 0.5000 0.0721 [4 per cell]

Results
theoretical density: 11.26 g/cm3
total magnetization: 0.000 μB per atom
energy of formation: -7.26 eV/f.u.


Number 1: V 13.92 Å³ per atom. Number 2: V 21.61 Å³ per atom.